The following is a SCAN calculation of a PBEsol-optimized structure of AlIr2Au, from Alexandria via LeMat-Bulk.

The structure belongs to space group F-43m (No. 216); the cell edges are 6.210, 6.210 and 6.210 Å and the angles 90.00°, 90.00° and 90.00°. The inequivalent atoms are Al at (0.000, 0.000, 0.000), Ir at (0.000, 0.000, 0.500), Ir at (0.250, 0.250, 0.750) and Au at (0.250, 0.250, 0.250).

Its energy relative to the elements is 32.2 meV/atom.